# 1
The following is a DFT calculation (GGA-PBE) of InSn2Te3 after structural relaxation.

a b c (Å): 4.4906 4.4906 11.0474
angles (deg): 90.00 90.00 120.00
Last column: nearest neighbours and their distance in Å.
Fractional coordinates of all 6 atoms:
Te 0.6667 0.3333 0.8331  3 Sn 3.17, 3 In 3.18
Te 0.3333 0.6667 0.1669  3 Sn 3.17, 3 In 3.18
Te 0.0000 0.0000 0.5000  6 Sn 3.19
In 0.0000 0.0000 0.0000  6 Te 3.18
Sn 0.3333 0.6667 0.6686  6 Te 3.17-3.19
Sn 0.6667 0.3333 0.3314  6 Te 3.17-3.19

* ρ: 6.33 g/cm3
* uncorrected formation energy: -278.8 meV per atom
* final energy: -3.6403 eV per atom



# 2
The following is a DFT calculation (GGA-PBE) of InSn5Te6 after structural relaxation.

a b c (Å): 7.8370 7.8370 7.7820
angles (deg): 99.68 99.68 120.07
Last column: nearest neighbours and their distance in Å.
Fractional coordinates of all 12 atoms:
Te 0.9162 0.5817 0.7486  5 Sn 3.16-3.20, 1 In 3.20
Te 0.7481 0.7481 0.2494  5 Sn 3.17-3.22, 1 In 3.20
Te 0.5817 0.9162 0.7486  5 Sn 3.16-3.20, 1 In 3.20
Te 0.4183 0.0838 0.2514  5 Sn 3.16-3.20, 1 In 3.20
Te 0.2519 0.2519 0.7506  5 Sn 3.17-3.22, 1 In 3.20
Te 0.0838 0.4183 0.2514  5 Sn 3.16-3.20, 1 In 3.20
Sn 0.8313 0.1687 0.5000  6 Te 3.16-3.22
Sn 0.5000 0.5000 0.5000  6 Te 3.18-3.19
Sn 0.6655 0.3345 0.0000  6 Te 3.17-3.20
Sn 0.3345 0.6655 0.0000  6 Te 3.17-3.20
Sn 0.1687 0.8313 0.5000  6 Te 3.16-3.22
In 0.0000 0.0000 0.0000  6 Te 3.20

* ρ: 6.28 g/cm3
* uncorrected formation energy: -280.3 meV per atom
* final energy: -3.7472 eV per atom



# 3
The following is a DFT calculation (GGA-PBE) of InSn3Te4 after structural relaxation.

a b c (Å): 6.4090 10.5031 8.9016
angles (deg): 90.00 90.00 90.00
Last column: nearest neighbours and their distance in Å.
Fractional coordinates of all 16 atoms:
Sn 0.0661 0.6577 0.2169  5 Te 2.99-3.26
Sn 0.0663 0.1386 0.5000  4 Te 3.01-3.25
Sn 0.5661 0.3423 0.2831  5 Te 2.99-3.26
Sn 0.5663 0.8614 0.0000  4 Te 3.01-3.25
Sn 0.5661 0.3423 0.7169  5 Te 2.99-3.26
Sn 0.0661 0.6577 0.7831  5 Te 2.99-3.26
Te 0.0621 0.8935 0.0000  1 In 3.06, 4 Sn 3.14-3.25
Te 0.0625 0.3510 0.7261  1 In 3.00, 4 Sn 3.01-3.26
Te 0.0625 0.3510 0.2739  1 In 3.00, 4 Sn 3.01-3.26
Te 0.5625 0.6490 0.2261  1 In 3.00, 4 Sn 3.01-3.26
Te 0.0638 0.8109 0.5000  2 Sn 2.99, 2 In 3.19-3.22
Te 0.5621 0.1065 0.5000  1 In 3.06, 4 Sn 3.14-3.25
Te 0.5625 0.6490 0.7739  1 In 3.00, 4 Sn 3.01-3.26
Te 0.5638 0.1891 0.0000  2 Sn 2.99, 2 In 3.19-3.22
In 0.5660 0.8148 0.5000  5 Te 3.00-3.22
In 0.0660 0.1852 0.0000  5 Te 3.00-3.22

* ρ: 5.44 g/cm3
* uncorrected formation energy: -188.5 meV per atom
* E above lowest polymorph: 0.707 eV per formula unit
* final energy: -3.6027 eV per atom



- What is the final energy in the third record?
  -3.6027 eV per atom



What did the third record say?
The following is a DFT calculation (GGA-PBE) of InSn3Te4 after structural relaxation.

a b c (Å): 6.4090 10.5031 8.9016
angles (deg): 90.00 90.00 90.00
Last column: nearest neighbours and their distance in Å.
Fractional coordinates of all 16 atoms:
Sn 0.0661 0.6577 0.2169  5 Te 2.99-3.26
Sn 0.0663 0.1386 0.5000  4 Te 3.01-3.25
Sn 0.5661 0.3423 0.2831  5 Te 2.99-3.26
Sn 0.5663 0.8614 0.0000  4 Te 3.01-3.25
Sn 0.5661 0.3423 0.7169  5 Te 2.99-3.26
Sn 0.0661 0.6577 0.7831  5 Te 2.99-3.26
Te 0.0621 0.8935 0.0000  1 In 3.06, 4 Sn 3.14-3.25
Te 0.0625 0.3510 0.7261  1 In 3.00, 4 Sn 3.01-3.26
Te 0.0625 0.3510 0.2739  1 In 3.00, 4 Sn 3.01-3.26
Te 0.5625 0.6490 0.2261  1 In 3.00, 4 Sn 3.01-3.26
Te 0.0638 0.8109 0.5000  2 Sn 2.99, 2 In 3.19-3.22
Te 0.5621 0.1065 0.5000  1 In 3.06, 4 Sn 3.14-3.25
Te 0.5625 0.6490 0.7739  1 In 3.00, 4 Sn 3.01-3.26
Te 0.5638 0.1891 0.0000  2 Sn 2.99, 2 In 3.19-3.22
In 0.5660 0.8148 0.5000  5 Te 3.00-3.22
In 0.0660 0.1852 0.0000  5 Te 3.00-3.22

* ρ: 5.44 g/cm3
* uncorrected formation energy: -188.5 meV per atom
* E above lowest polymorph: 0.707 eV per formula unit
* final energy: -3.6027 eV per atom



- What is the final energy in the second record?
  -3.7472 eV per atom